{
  "formula": "Fe11Ni9Pt4",
  "functional": "GGA-PBE",
  "state": "optimized geometry",
  "magnetic_moment_mub_per_fu": 37.1,
  "e_form_ev_per_atom": -0.05,
  "volume_a3_per_atom": 12.40,
  "cell": [[-1.316, 0.556, -2.177], [8.917, -1.383, -5.745], [-2.724, -10.298, -0.980]],
  "species": ["Ni", "Ni", "Ni", "Ni", "Ni", "Ni", "Ni", "Ni", "Ni", "Fe", "Fe", "Fe", "Fe", "Fe", "Fe", "Fe", "Fe", "Fe", "Fe", "Fe", "Pt", "Pt", "Pt", "Pt"],
  "frac_coords": [[0.500, 0.201, 0.032], [0.500, 0.032, 0.201], [0.500, 0.128, 0.632], [0.500, 0.632, 0.128], [0.500, 0.799, 0.968], [0.500, 0.968, 0.799], [0.500, 0.500, 0.500], [0.500, 0.872, 0.368], [0.500, 0.368, 0.872], [0.000, 0.231, 0.231], [0.000, 0.409, 0.066], [0.000, 0.934, 0.591], [0.000, 0.066, 0.409], [0.000, 0.660, 0.340], [0.000, 0.591, 0.934], [0.000, 0.830, 0.170], [0.000, 0.340, 0.660], [0.000, 0.769, 0.769], [0.000, 0.170, 0.830], [0.000, 0.000, 0.000], [0.500, 0.553, 0.729], [0.500, 0.729, 0.553], [0.500, 0.271, 0.447], [0.500, 0.447, 0.271]]
}



{
  "formula": "Sc2TaTc",
  "functional": "GGA-PBE",
  "state": "optimized geometry",
  "de_polymorph_ev_per_atom": 0.1582,
  "magnetic_moment_mub_per_fu": 0.0,
  "e_form_ev_per_atom": -0.03,
  "volume_a3_per_atom": 19.16,
  "cell": [[-4.140, 0.156, 1.588], [0.583, -2.444, 1.759], [1.967, 2.363, 4.894]],
  "species": ["Tc", "Ta", "Sc", "Sc"],
  "frac_coords": [[0.500, 0.741, 0.730], [0.000, 0.575, 0.527], [0.000, 0.939, 0.978], [0.500, 0.244, 0.264]]
}



{
  "formula": "Ac2ErPd3Au12",
  "functional": "GGA-PBE",
  "state": "optimized geometry",
  "magnetic_moment_mub_per_fu": 0.0,
  "e_form_ev_per_atom": -0.10,
  "volume_a3_per_atom": 25.77,
  "cell": [[-0.802, 8.349, 1.377], [-6.019, 4.067, -4.412], [-6.870, 2.547, 4.308]],
  "species": ["Au", "Au", "Au", "Au", "Au", "Au", "Au", "Au", "Au", "Au", "Au", "Au", "Er", "Pd", "Pd", "Pd", "Ac", "Ac"],
  "frac_coords": [[0.134, 0.637, 0.637], [0.866, 0.363, 0.363], [0.140, 0.140, 0.610], [0.860, 0.390, 0.860], [0.610, 0.140, 0.140], [0.637, 0.134, 0.637], [0.140, 0.610, 0.140], [0.860, 0.860, 0.390], [0.363, 0.866, 0.363], [0.363, 0.363, 0.866], [0.390, 0.860, 0.860], [0.637, 0.637, 0.134], [0.000, 0.000, 0.000], [0.500, 0.000, 0.000], [0.000, 0.500, 0.000], [0.000, 0.000, 0.500], [0.608, 0.608, 0.608], [0.392, 0.392, 0.392]]
}



{
  "formula": "NpUMn",
  "functional": "GGA-PBE",
  "state": "optimized geometry",
  "de_polymorph_ev_per_atom": 0.1420,
  "magnetic_moment_mub_per_fu": 0.0,
  "e_form_ev_per_atom": 0.31,
  "volume_a3_per_atom": 16.73,
  "cell": [[4.643, 0.000, 0.000], [0.000, 2.742, 0.000], [0.000, 0.000, 7.883]],
  "species": ["U", "U", "Mn", "Mn", "Np", "Np"],
  "frac_coords": [[0.500, 0.500, 0.382], [0.000, 0.000, 0.618], [0.500, 0.500, 0.018], [0.000, 0.000, 0.982], [0.500, 0.000, 0.759], [0.000, 0.500, 0.241]]
}



{
  "formula": "LiYCrW2",
  "functional": "GGA-PBE",
  "state": "optimized geometry",
  "magnetic_moment_mub_per_fu": 0.0,
  "e_form_ev_per_atom": 1.70,
  "volume_a3_per_atom": 17.40,
  "cell": [[-1.963, -3.308, 1.872], [3.720, -2.781, -1.015], [1.801, 1.046, 3.737]],
  "species": ["W", "W", "Li", "Y", "Cr"],
  "frac_coords": [[0.500, 0.000, 0.000], [0.000, 0.000, 0.500], [0.000, 0.000, 0.000], [0.000, 0.500, 0.000], [0.500, 0.500, 0.500]]
}



{
  "formula": "PrSm3Y2Tm6",
  "functional": "GGA-PBE",
  "state": "optimized geometry",
  "magnetic_moment_mub_per_fu": 0.0,
  "e_form_ev_per_atom": 0.02,
  "volume_a3_per_atom": 31.68,
  "cell": [[-5.962, -1.565, 0.014], [4.331, -4.371, -0.377], [0.771, 1.204, 11.643]],
  "species": ["Tm", "Tm", "Tm", "Tm", "Tm", "Tm", "Sm", "Sm", "Sm", "Pr", "Y", "Y"],
  "frac_coords": [[0.583, 0.916, 0.750], [0.750, 0.750, 0.250], [0.417, 0.084, 0.250], [0.084, 0.417, 0.250], [0.916, 0.583, 0.750], [0.250, 0.250, 0.750], [0.167, 0.833, 0.500], [0.500, 0.500, 0.500], [0.833, 0.167, 0.500], [0.000, 0.000, 0.000], [0.667, 0.333, 0.000], [0.333, 0.667, 0.000]]
}



{
  "formula": "Mg11Ni4Hg9",
  "functional": "GGA-PBE",
  "state": "optimized geometry",
  "magnetic_moment_mub_per_fu": 0.0,
  "e_form_ev_per_atom": -0.18,
  "volume_a3_per_atom": 19.29,
  "cell": [[-0.636, 3.417, -0.361], [-10.680, -2.500, -4.857], [-0.447, 1.177, 11.930]],
  "species": ["Mg", "Mg", "Mg", "Mg", "Mg", "Mg", "Mg", "Mg", "Mg", "Mg", "Mg", "Hg", "Hg", "Hg", "Hg", "Hg", "Hg", "Hg", "Hg", "Hg", "Ni", "Ni", "Ni", "Ni"],
  "frac_coords": [[0.000, 0.693, 0.693], [0.000, 0.371, 0.629], [0.000, 0.837, 0.163], [0.000, 0.416, 0.082], [0.000, 0.629, 0.371], [0.000, 0.163, 0.837], [0.000, 0.082, 0.416], [0.000, 0.000, 0.000], [0.000, 0.918, 0.584], [0.000, 0.584, 0.918], [0.000, 0.307, 0.307], [0.500, 0.624, 0.147], [0.500, 0.376, 0.853], [0.500, 0.220, 0.067], [0.500, 0.500, 0.500], [0.500, 0.780, 0.933], [0.500, 0.147, 0.624], [0.500, 0.853, 0.376], [0.500, 0.933, 0.780], [0.500, 0.067, 0.220], [0.500, 0.741, 0.548], [0.500, 0.548, 0.741], [0.500, 0.259, 0.452], [0.500, 0.452, 0.259]]
}



{
  "formula": "TaNiRh2",
  "functional": "GGA-PBE",
  "state": "optimized geometry",
  "magnetic_moment_mub_per_fu": 0.4,
  "e_form_ev_per_atom": -0.36,
  "volume_a3_per_atom": 14.41,
  "cell": [[-2.767, -0.890, 0.280], [-0.329, -0.088, -3.532], [1.700, -5.296, -0.027]],
  "species": ["Ni", "Rh", "Rh", "Ta"],
  "frac_coords": [[0.500, 0.500, 0.750], [0.000, 0.000, 0.988], [0.000, 0.000, 0.512], [0.500, 0.500, 0.250]]
}